First-principles (GGA+U) data for LiPmCrO4 after structural relaxation, as listed in Alexandria via LeMat-Bulk.

Cell: 6.0510 7.2514 8.9359 Å, 90.00 90.00 90.00°
Space group Imma (No. 74)
Unique sites:
Li  0.0000  0.2500  0.0766 x4
Pm  0.0000  0.0000  0.5000 x4
Cr  0.2500  0.2500  0.7500 x4
O  0.0000  0.0678  0.7543 x8
O  0.2387  0.2500  0.5325 x8

Output
VASP energy ... -7.0859 eV per atom